! SbTeC | Alexandria | PBE | relaxed; values from VASP
! **Energy relative to the lowest polymorph listed for this composition**: 0.07 eV/f.u.
! **Symmetry**: No. 8
! **Energy relative to the elements, uncorrected**: 0.578 eV per atom
! **Raw total energy**: -4.918 eV/atom
&SYSTEM
  ibrav = 0, nat = 12, ntyp = 3
/
ATOMIC_SPECIES
Sb 121.76 Sb.upf
C 12.01 C.upf
Te 127.60 Te.upf
ATOMIC_POSITIONS crystal
Sb 0.4506 0.0000 0.6892
Sb 0.4506 0.5000 0.1892
Sb 0.0703 0.0000 0.4561
Sb 0.0703 0.5000 0.9561
C 0.2940 0.1605 0.2439
C 0.2940 0.8395 0.2439
C 0.2940 0.6605 0.7439
C 0.2940 0.3395 0.7439
Te 0.1281 0.0000 0.7900
Te 0.1281 0.5000 0.2900
Te 0.8153 0.0000 0.9675
Te 0.8153 0.5000 0.4675
CELL_PARAMETERS angstrom
7.4074 0.0000 -0.0006
0.0000 4.1404 0.0000
-7.0737 0.0000 12.1873